The following is a DFT calculation (PBE) of ReHPt2 after structural relaxation.

Cell: 6.1176 6.1176 5.1097 Å, 53.23 53.23 90.00°
With the nearest neighbours (Å) after each atom.
Fractional coordinates of all 8 atoms:
Re  0.0000  0.0000  0.0000  8 Pt 2.71, 2 H 2.72
H  0.2500  0.7500  0.5000  4 Pt 1.91
Re  0.7500  0.2500  0.5000  8 Pt 2.71, 2 H 2.72
H  0.5000  0.5000  0.0000  4 Pt 1.91
Pt  0.5257  0.1250  0.2500  2 H 1.91
Pt  0.3750  0.4743  0.7500  2 H 1.91
Pt  0.2243  0.6250  0.2500  2 H 1.91
Pt  0.8750  0.7757  0.7500  2 H 1.91

Output
**Total energy**: -52.61 eV/cell
**Symmetry**: I-42d, No. 122
**Energy above the lowest structure with this stoichiometry**: 0.008 eV per atom